## Pt2Au3 (PBE-GGA)

Data for an optimized crystal structure of Pt2Au3.

Unit cell a=12.051 b=12.051 c=12.051 alpha=13.65 beta=13.65 gamma=13.65
Sites, in units of the cell vectors:
Au  0.000  0.000  0.000
Au  0.201  0.201  0.201
Au  0.799  0.799  0.799
Pt  0.399  0.399  0.399
Pt  0.601  0.601  0.601

Values from the calculation:
The distance to the lowest polymorph of the same formula is 0 meV per atom. For the magnetic moment, the calculation gives 0.0 Bohr magnetons per cell. The calculated volume comes out at 17.0 A^3/atom. The formation energy from the elements comes out at -8 meV/atom.

## Pt2Au13 (PBE-GGA)

Data for an optimized crystal structure of Pt2Au13.

Unit cell a=5.044 b=7.181 c=8.850 alpha=123.36 beta=84.35 gamma=90.13
Sites, in units of the cell vectors:
Pt  0.066  0.731  0.600
Pt  0.934  0.269  0.400
Au  0.802  0.804  0.199
Au  0.198  0.196  0.801
Au  0.000  0.000  0.000
Au  0.264  0.932  0.402
Au  0.736  0.068  0.598
Au  0.867  0.532  0.794
Au  0.133  0.468  0.206
Au  0.603  0.602  0.404
Au  0.397  0.398  0.596
Au  0.533  0.867  0.799
Au  0.467  0.133  0.201
Au  0.667  0.338  0.002
Au  0.333  0.662  0.998

Values from the calculation:
The distance to the lowest polymorph of the same formula is 0 meV per atom. For the magnetic moment, the calculation gives 0.0 Bohr magnetons per cell. The calculated volume comes out at 17.7 A^3/atom. The formation energy from the elements comes out at 13 meV/atom.